1.
4
Lattice="3.685 0.000 0.000 0.000 4.433 0.000 0.000 0.000 7.592" Properties=species:S:1:pos:R:3 comment="KTl2Sb (meta-GGA SCAN, PBEsol geometry)" magnetic_moment_mub_per_cell=0.00 e_form_raw_ev_per_atom=-0.19 space_group="No. 25" pbc="T T T"
K 0.000 0.000 0.000
Tl 0.000 0.000 3.684
Tl 1.842 2.217 5.292
Sb 1.842 2.217 2.198


2.
5
Lattice="5.791 0.000 0.000 0.000 5.791 0.000 0.000 0.000 5.628" Properties=species:S:1:pos:R:3 comment="RbNbAsBr2 (meta-GGA SCAN, PBEsol geometry)" magnetic_moment_mub_per_cell=1.56 e_form_raw_ev_per_atom=1.01 space_group="No. 123" pbc="T T T"
Rb 0.000 0.000 0.000
Nb 2.896 2.896 2.814
As 0.000 0.000 2.814
Br 0.000 2.896 0.000
Br 2.896 0.000 0.000


3.
4
Lattice="-1.979 1.979 4.551 1.979 -1.979 4.551 1.979 1.979 -4.551" Properties=species:S:1:pos:R:3 comment="Li2YPt (meta-GGA SCAN, PBEsol geometry)" magnetic_moment_mub_per_cell=0.00 formation_enthalpy_0k_ev_per_atom=-0.67 space_group="No. 139" pbc="T T T"
Li 1.979 0.000 2.275
Li 0.000 1.979 2.275
Y 0.000 0.000 0.000
Pt 0.000 0.000 4.551


4.
8
Lattice="-1.809 1.809 8.612 1.809 -1.809 8.612 1.809 1.809 -8.612" Properties=species:S:1:pos:R:3 comment="BeCr2Te (meta-GGA SCAN, PBEsol geometry)" magnetic_moment_mub_per_cell=0.00 e_form_raw_ev_per_atom=0.63 space_group="No. 122" pbc="T T T"
Be 0.000 0.000 0.000
Be 0.000 1.809 4.306
Cr 2.714 0.638 -2.153
Cr 0.638 0.905 2.153
Cr -0.905 1.172 6.459
Cr 1.172 0.905 10.764
Te 1.809 0.000 4.306
Te 0.000 0.000 8.612


5.
4
Lattice="-1.864 1.864 3.564 1.864 -1.864 3.564 1.864 1.864 -3.564" Properties=species:S:1:pos:R:3 comment="MnCoIr2 (meta-GGA SCAN, PBEsol geometry)" magnetic_moment_mub_per_cell=3.82 formation_enthalpy_0k_ev_per_atom=-0.20 space_group="No. 139" pbc="T T T"
Mn 0.000 0.000 0.000
Co 0.000 0.000 3.564
Ir 1.864 0.000 1.782
Ir 0.000 1.864 1.782


6.
6
Lattice="6.136 -1.707 0.000 6.136 1.707 0.000 -2.195 0.000 7.451" Properties=species:S:1:pos:R:3 comment="Tl2Cd (meta-GGA SCAN, PBEsol geometry)" magnetic_moment_mub_per_cell=0.00 formation_enthalpy_0k_ev_per_atom=0.06 space_group="No. 12" pbc="T T T"
Tl 1.655 0.000 0.342
Tl 0.811 0.000 4.590
Tl 9.266 0.000 2.861
Tl 8.423 0.000 7.109
Cd 4.306 0.000 5.279
Cd 5.771 0.000 2.172


7.
5
Lattice="4.456 0.000 0.000 0.000 4.456 0.000 0.000 0.000 4.456" Properties=species:S:1:pos:R:3 comment="Mo3AsOs (meta-GGA SCAN, PBEsol geometry)" magnetic_moment_mub_per_cell=0.00 formation_enthalpy_0k_ev_per_atom=1.54 space_group="No. 221" pbc="T T T"
Mo 0.000 0.000 2.228
Mo 0.000 2.228 0.000
Mo 2.228 0.000 0.000
As 0.000 0.000 0.000
Os 2.228 2.228 2.228


8.
16
Lattice="6.256 0.000 0.000 0.000 5.266 0.000 0.000 0.000 4.819" Properties=species:S:1:pos:R:3 comment="Li2SiNiO4 (meta-GGA SCAN, PBEsol geometry)" magnetic_moment_mub_per_cell=4.00 e_form_raw_ev_per_atom=-2.37 space_group="No. 31" pbc="T T T"
Li 1.559 0.904 0.000
Li 1.569 4.362 2.409
Li 4.687 4.362 2.409
Li 4.697 0.904 0.000
Si 0.000 1.784 2.460
Si 3.128 3.482 0.051
Ni 0.000 3.624 4.794
Ni 3.128 1.642 2.385
O 0.000 1.797 4.108
O 0.000 3.343 1.926
O 1.347 0.984 1.955
O 1.781 4.282 4.364
O 3.128 1.923 4.336
O 3.128 3.469 1.698
O 4.475 4.282 4.364
O 4.909 0.984 1.955


9.
4
Lattice="3.644 0.000 0.000 0.000 3.644 0.000 0.000 0.000 3.515" Properties=species:S:1:pos:R:3 comment="TaCo2Ni (meta-GGA SCAN, PBEsol geometry)" magnetic_moment_mub_per_cell=0.89 formation_enthalpy_0k_ev_per_atom=-0.20 space_group="No. 123" pbc="T T T"
Ta 0.000 0.000 0.000
Co 0.000 1.822 1.757
Co 1.822 0.000 1.757
Ni 1.822 1.822 0.000


10.
12
Lattice="6.012 0.000 0.000 0.000 3.567 0.000 0.000 0.000 7.043" Properties=species:S:1:pos:R:3 comment="VNiAs (meta-GGA SCAN, PBEsol geometry)" magnetic_moment_mub_per_cell=0.00 formation_enthalpy_0k_ev_per_atom=-0.48 space_group="No. 62" pbc="T T T"
V 0.165 0.892 1.129
V 2.841 2.675 4.650
V 3.171 0.892 2.393
V 5.847 2.675 5.915
Ni 0.884 0.892 3.961
Ni 2.122 2.675 0.440
Ni 3.889 0.892 6.603
Ni 5.128 2.675 3.082
As 1.392 2.675 2.598
As 1.614 0.892 6.119
As 4.397 2.675 0.924
As 4.620 0.892 4.446


11.
8
Lattice="6.406 0.000 0.000 -3.203 5.548 0.000 0.000 0.000 5.462" Properties=species:S:1:pos:R:3 comment="GaSn3 (meta-GGA SCAN, PBEsol geometry)" magnetic_moment_mub_per_cell=0.00 formation_enthalpy_0k_ev_per_atom=0.22 space_group="No. 194" pbc="T T T"
Ga 0.000 3.699 1.365
Ga 3.203 1.849 4.096
Sn 0.000 1.867 4.096
Sn -1.587 4.615 4.096
Sn 1.617 0.933 1.365
Sn 1.587 4.615 4.096
Sn 4.790 0.933 1.365
Sn 3.203 3.682 1.365


12.
6
Lattice="4.927 -1.357 0.000 4.927 1.357 0.000 -1.493 0.000 6.238" Properties=species:S:1:pos:R:3 comment="Tc2Ir (meta-GGA SCAN, PBEsol geometry)" magnetic_moment_mub_per_cell=0.00 formation_enthalpy_0k_ev_per_atom=-0.28 space_group="No. 12" pbc="T T T"
Tc 1.343 0.000 0.151
Tc 0.945 0.000 3.989
Tc 7.416 0.000 2.248
Tc 7.019 0.000 6.086
Ir 3.600 0.000 4.343
Ir 4.762 0.000 1.895


13.
6
Lattice="1.941 -5.699 0.000 1.941 5.699 0.000 0.000 0.000 6.329" Properties=species:S:1:pos:R:3 comment="TlCl5 (meta-GGA SCAN, PBEsol geometry)" magnetic_moment_mub_per_cell=0.00 e_form_raw_ev_per_atom=-0.08 space_group="No. 65" pbc="T T T"
Tl 0.000 0.000 0.000
Cl 1.941 3.789 3.165
Cl 1.941 1.785 0.000
Cl 1.941 0.000 3.165
Cl 1.941 -1.785 0.000
Cl 1.941 -3.789 3.165


14.
3
Lattice="-1.702 1.702 5.187 1.702 -1.702 5.187 1.702 1.702 -5.187" Properties=species:S:1:pos:R:3 comment="YInRu (meta-GGA SCAN, PBEsol geometry)" magnetic_moment_mub_per_cell=0.00 formation_enthalpy_0k_ev_per_atom=-0.38 space_group="No. 107" pbc="T T T"
Y 0.000 0.000 0.000
In 0.000 0.000 7.324
Ru 0.000 0.000 3.561


15.
5
Lattice="5.131 0.000 0.000 0.000 5.131 0.000 0.000 0.000 5.131" Properties=species:S:1:pos:R:3 comment="AlCd3Tc (meta-GGA SCAN, PBEsol geometry)" magnetic_moment_mub_per_cell=1.83 formation_enthalpy_0k_ev_per_atom=1.04 space_group="No. 221" pbc="T T T"
Al 0.000 0.000 0.000
Cd 0.000 2.565 2.565
Cd 2.565 0.000 2.565
Cd 2.565 2.565 0.000
Tc 2.565 2.565 2.565


16.
4
Lattice="-2.274 2.274 3.940 2.274 -2.274 3.940 2.274 2.274 -3.940" Properties=species:S:1:pos:R:3 comment="ZrBr2Cl (meta-GGA SCAN, PBEsol geometry)" magnetic_moment_mub_per_cell=1.00 e_form_raw_ev_per_atom=-0.70 space_group="No. 119" pbc="T T T"
Zr 0.000 0.000 0.000
Br 2.274 0.000 1.970
Br 0.000 0.000 3.940
Cl 0.000 2.274 1.970


17.
5
Lattice="4.592 0.000 0.000 0.000 4.592 0.000 0.000 0.000 4.793" Properties=species:S:1:pos:R:3 comment="MgScNb2S (meta-GGA SCAN, PBEsol geometry)" magnetic_moment_mub_per_cell=0.00 e_form_raw_ev_per_atom=-0.21 space_group="No. 123" pbc="T T T"
Mg 0.000 0.000 0.000
Sc 2.296 2.296 0.000
Nb 0.000 2.296 2.396
Nb 2.296 0.000 2.396
S 2.296 2.296 2.396


18.
20
Lattice="6.595 0.000 0.000 0.000 6.814 0.000 0.000 0.000 5.104" Properties=species:S:1:pos:R:3 comment="CeNiO3 (meta-GGA SCAN, PBEsol geometry)" magnetic_moment_mub_per_cell=0.01 e_form_raw_ev_per_atom=-2.59 space_group="No. 62" pbc="T T T"
Ce 0.793 1.703 0.179
Ce 2.505 5.110 2.731
Ce 4.090 1.703 2.373
Ce 5.802 5.110 4.925
Ni 0.000 0.000 2.552
Ni 0.000 3.407 2.552
Ni 3.297 0.000 0.000
Ni 3.297 3.407 0.000
O 0.333 5.110 1.886
O 0.942 3.761 4.100
O 0.942 6.460 4.100
O 2.356 0.354 1.548
O 2.356 3.053 1.548
O 2.965 1.703 4.438
O 3.630 5.110 0.666
O 4.239 3.761 3.556
O 4.239 6.460 3.556
O 5.653 0.354 1.004
O 5.653 3.053 1.004
O 6.262 1.703 3.218


19.
32
Lattice="3.564 -5.043 0.000 3.564 5.043 0.000 0.000 0.000 10.095" Properties=species:S:1:pos:R:3 comment="TaCo6W (meta-GGA SCAN, PBEsol geometry)" magnetic_moment_mub_per_cell=0.03 formation_enthalpy_0k_ev_per_atom=0.03 space_group="No. 65" pbc="T T T"
Ta 0.000 0.000 2.515
Ta 0.000 0.000 7.580
Ta 3.564 2.535 0.000
Ta 3.564 -2.535 0.000
Co 0.000 0.000 0.000
Co 0.000 0.000 5.048
Co 1.804 1.270 3.806
Co 1.804 1.270 6.289
Co 1.805 1.253 1.283
Co 1.805 1.253 8.812
Co 3.564 2.503 2.558
Co 3.564 2.503 7.537
Co 1.805 -1.253 1.283
Co 1.805 -1.253 8.812
Co 1.804 -1.270 3.806
Co 1.804 -1.270 6.289
Co 3.564 0.000 0.000
Co 3.564 0.000 5.048
Co 5.324 1.270 3.806
Co 5.324 1.270 6.289
Co 5.323 1.253 1.283
Co 5.323 1.253 8.812
Co 3.564 -2.503 2.558
Co 3.564 -2.503 7.537
Co 5.323 -1.253 1.283
Co 5.323 -1.253 8.812
Co 5.324 -1.270 3.806
Co 5.324 -1.270 6.289
W 3.564 2.537 5.048
W 3.564 0.000 2.512
W 3.564 0.000 7.583
W 3.564 -2.537 5.048


20.
5
Lattice="4.181 0.000 0.000 0.000 4.181 0.000 0.000 0.000 4.566" Properties=species:S:1:pos:R:3 comment="Mn2TcAgCl (meta-GGA SCAN, PBEsol geometry)" magnetic_moment_mub_per_cell=8.98 e_form_raw_ev_per_atom=1.07 space_group="No. 123" pbc="T T T"
Mn 0.000 2.090 0.000
Mn 2.090 0.000 0.000
Tc 0.000 0.000 2.283
Ag 2.090 2.090 2.283
Cl 2.090 2.090 0.000


21.
32
Lattice="9.475 0.000 0.000 0.000 5.879 0.000 0.000 0.000 7.737" Properties=species:S:1:pos:R:3 comment="NaVF6 (meta-GGA SCAN, PBEsol geometry)" magnetic_moment_mub_per_cell=0.57 e_form_raw_ev_per_atom=-2.95 space_group="No. 62" pbc="T T T"
Na 0.054 1.470 1.322
Na 4.683 4.409 5.190
Na 4.791 1.470 2.547
Na 9.421 4.409 6.415
V 2.184 1.470 4.764
V 2.553 4.409 0.895
V 6.921 1.470 6.842
V 7.290 4.409 2.973
F 1.048 0.183 5.200
F 1.048 2.756 5.200
F 1.322 3.171 0.380
F 1.322 5.647 0.380
F 1.566 1.470 3.078
F 1.856 4.409 2.501
F 2.881 1.470 6.370
F 3.171 4.409 6.946
F 3.415 0.232 4.249
F 3.415 2.708 4.249
F 3.689 3.123 1.332
F 3.689 5.695 1.332
F 5.786 0.183 6.405
F 5.786 2.756 6.405
F 6.059 3.171 3.488
F 6.059 5.647 3.488
F 6.304 1.470 0.791
F 6.593 4.409 1.367
F 7.618 1.470 5.236
F 7.908 4.409 4.659
F 8.153 0.232 7.357
F 8.153 2.708 7.357
F 8.426 3.123 2.537
F 8.426 5.695 2.537


22.
5
Lattice="4.418 0.000 0.000 0.000 4.418 0.000 0.000 0.000 4.418" Properties=species:S:1:pos:R:3 comment="MnNiW3 (meta-GGA SCAN, PBEsol geometry)" magnetic_moment_mub_per_cell=4.10 formation_enthalpy_0k_ev_per_atom=1.59 space_group="No. 221" pbc="T T T"
Mn 0.000 0.000 0.000
Ni 2.209 2.209 2.209
W 0.000 2.209 2.209
W 2.209 0.000 2.209
W 2.209 2.209 0.000


23.
8
Lattice="3.669 2.118 2.354 -3.669 2.118 2.354 0.000 -4.237 2.354" Properties=species:S:1:pos:R:3 comment="BaCrF6 (meta-GGA SCAN, PBEsol geometry)" magnetic_moment_mub_per_cell=2.00 e_form_raw_ev_per_atom=-3.33 space_group="No. 166" pbc="T T T"
Ba 0.000 0.000 0.000
Cr 0.000 0.000 3.532
F 0.000 -1.466 2.440
F -1.269 0.733 2.440
F -1.269 -0.733 4.623
F 1.269 0.733 2.440
F 1.269 -0.733 4.623
F 0.000 1.466 4.623